Compound: Pr2HoCd4
Source: Alexandria via LeMat-Bulk
Functional: PBE
Structure: relaxed

Spin magnetization, Bohr magnetons per cell: 0.0
Fermi-level density of states, states/eV per atom: 1.04
Raw total energy, eV per atom: -2.3368
Formation energy, eV/f.u.: 1.44
SG: I4/mmm (139)

Unit cell a=5.610 b=5.610 c=8.942 alpha=108.28 beta=108.28 gamma=90.00
Atoms (fractional coordinates):
Pr: 0.391 0.391 0.782
Pr: 0.609 0.609 0.218
Ho: 0.000 0.000 0.000
Cd: 0.188 0.188 0.376
Cd: 0.812 0.812 0.624
Cd: 0.500 0.000 0.000
Cd: 0.000 0.500 0.000